1.
Entry from the Alexandria database: crystalline NpZnOsO6 at its relaxed geometry (GGA-PBE).

Geometry as CIF:
```
data_NpZnOsO6
_chemical_formula_sum 'Np2 Zn2 Os2 O12'
_cell_length_a 5.2402
_cell_length_b 5.2402
_cell_length_c 9.0415
_cell_angle_alpha 90.00
_cell_angle_beta 90.00
_cell_angle_gamma 120.00
_symmetry_space_group_name_H-M 'P -3 1 c'
_symmetry_Int_Tables_number 163
_symmetry_space_group_name_Hall '-P 3 2c'
loop_
_atom_site_label
_atom_site_fract_x
_atom_site_fract_y
_atom_site_fract_z
Np1 0.3333 0.6667 0.2500
Zn1 0.3333 0.6667 0.7500
Os1 0.0000 0.0000 0.0000
O1 0.0054 0.3177 0.1234
```

For the density of states at the Fermi level, the calculation gives 5.259 states/eV per cell. Its uncorrected formation energy is -15.36 eV per formula unit. As for the crystal system: trigonal. As for the size of the total moment: 3.0 μB/f.u.


2.
Entry from the Alexandria database: crystalline TlBi7Pb12 at its relaxed geometry (GGA-PBE).

Geometry as CIF:
```
data_TlBi7Pb12
_chemical_formula_sum 'Tl1 Bi7 Pb12'
_cell_length_a 9.3056
_cell_length_b 9.3182
_cell_length_c 9.3404
_cell_angle_alpha 107.56
_cell_angle_beta 107.22
_cell_angle_gamma 107.89
_symmetry_space_group_name_H-M 'P -1'
_symmetry_Int_Tables_number 2
loop_
_symmetry_equiv_pos_as_xyz
'x,y,z'
'-x,-y,-z'
loop_
_atom_site_label
_atom_site_fract_x
_atom_site_fract_y
_atom_site_fract_z
Tl1 0.0000 0.0000 0.0000
Bi1 0.0420 0.9211 0.3473
Bi2 0.0781 0.6529 0.9581
Bi3 0.3504 0.0466 0.9263
Bi4 0.5000 0.5000 0.5000
Pb1 0.0051 0.2826 0.3929
Pb2 0.2343 0.6665 0.3871
Pb3 0.2875 0.3973 0.0095
Pb4 0.3289 0.6083 0.7620
Pb5 0.3874 0.2339 0.6678
Pb6 0.3975 0.0091 0.2874
```

For the density of states at the Fermi level, the calculation gives 11.055 states/eV per cell. As for the crystal system: triclinic. The energy above the most stable polymorph in this dataset comes out at 9 meV/atom. As for the size of the total moment: 0.0 μB/f.u. Its formation enthalpy at 0 K is 5 kJ per mole of atoms.


3.
Entry from the Alexandria database: crystalline GaAg at its relaxed geometry (GGA-PBE).

Geometry as CIF:
```
data_GaAg
_chemical_formula_sum 'Ga8 Ag8'
_cell_length_a 9.0170
_cell_length_b 9.0170
_cell_length_c 4.8780
_cell_angle_alpha 90.00
_cell_angle_beta 90.00
_cell_angle_gamma 90.00
_symmetry_space_group_name_H-M 'I 4/m c m'
_symmetry_Int_Tables_number 140
_symmetry_space_group_name_Hall '-I 4 2c'
loop_
_atom_site_label
_atom_site_fract_x
_atom_site_fract_y
_atom_site_fract_z
Ga1 0.1047 0.3953 0.0000
Ag1 0.1901 0.3099 0.5000
```

For the density of states at the Fermi level, the calculation gives 3.519 states/eV per cell. As for the crystal system: tetragonal. As for the size of the total moment: 0.0 μB/f.u. Its formation enthalpy at 0 K is 9 kJ per mole of atoms.


4.
Entry from the Alexandria database: crystalline Pm2YEr at its relaxed geometry (GGA-PBE).

Geometry as CIF:
```
data_Pm2YEr
_chemical_formula_sum 'Pm2 Y1 Er1'
_cell_length_a 5.1070
_cell_length_b 5.1070
_cell_length_c 5.0367
_cell_angle_alpha 90.00
_cell_angle_beta 90.00
_cell_angle_gamma 90.00
_symmetry_space_group_name_H-M 'P 4/m m m'
_symmetry_Int_Tables_number 123
_symmetry_space_group_name_Hall '-P 4 2'
loop_
_atom_site_label
_atom_site_fract_x
_atom_site_fract_y
_atom_site_fract_z
Pm1 0.0000 0.5000 0.0000
Y1 0.0000 0.0000 0.5000
Er1 0.5000 0.5000 0.5000
```

For the density of states at the Fermi level, the calculation gives 6.433 states/eV per cell. As for the crystal system: tetragonal. The energy above the most stable polymorph in this dataset comes out at 8 meV/atom. As for the size of the total moment: 0.0 μB/f.u. Its formation enthalpy at 0 K is 2 kJ per mole of atoms.


| no. | V (Å³/atom) | E (eV per atom) |
| --- | --- | --- |
| 1 | 11.95 | -7.839 |
| 2 | 33.20 | -3.649 |
| 3 | 24.79 | -2.846 |
| 4 | 32.84 | -5.111 |